(1)
Density functional theory data (GGA-PBE) for CaTc2As after structural relaxation.

Properties
Total magnetic moment: 0.00 μB/cell
Formation enthalpy at 0 K: 0.412 eV/atom
Fermi-level density of states: 5.03 states/eV per cell

POSCAR file:
```
CaTc2As
1.0
2.8431 -4.7224 0.0000
2.8431 4.7224 0.0000
-1.4499 0.0000 2.5356
Ca Tc As
1 2 1
Cartesian
0.0000 0.0000 0.0000 Ca
0.6966 2.3612 1.2678 Tc
0.6966 -2.3612 1.2678 Tc
2.8431 0.0000 0.0000 As
```

(2)
Density functional theory data (GGA-PBE) for CrP2Rh2 after structural relaxation.

Properties
Total magnetic moment: 0.00 μB/cell
Formation enthalpy at 0 K: -0.175 eV/atom
Fermi-level density of states: 8.21 states/eV per cell

POSCAR file:
```
CrP2Rh2
1.0
6.4602 0.0000 0.0000
0.0000 6.4602 0.0000
0.0000 0.0000 3.1604
Cr P Rh
2 4 4
Cartesian
0.0000 0.0000 0.0000 Cr
3.2301 3.2301 0.0000 Cr
1.0088 2.2213 0.0000 P
2.2213 5.4514 0.0000 P
4.2389 1.0088 0.0000 P
5.4514 4.2389 0.0000 P
0.9733 4.2034 1.5802 Rh
2.2568 0.9733 1.5802 Rh
4.2034 5.4869 1.5802 Rh
5.4869 2.2568 1.5802 Rh
```

What is the formula in the first record? CaTc2As

Please write out number 2 again, unchanged.
Density functional theory data (GGA-PBE) for CrP2Rh2 after structural relaxation.

Properties
Total magnetic moment: 0.00 μB/cell
Formation enthalpy at 0 K: -0.175 eV/atom
Fermi-level density of states: 8.21 states/eV per cell

POSCAR file:
```
CrP2Rh2
1.0
6.4602 0.0000 0.0000
0.0000 6.4602 0.0000
0.0000 0.0000 3.1604
Cr P Rh
2 4 4
Cartesian
0.0000 0.0000 0.0000 Cr
3.2301 3.2301 0.0000 Cr
1.0088 2.2213 0.0000 P
2.2213 5.4514 0.0000 P
4.2389 1.0088 0.0000 P
5.4514 4.2389 0.0000 P
0.9733 4.2034 1.5802 Rh
2.2568 0.9733 1.5802 Rh
4.2034 5.4869 1.5802 Rh
5.4869 2.2568 1.5802 Rh
```